This record from the Alexandria database describes an optimized crystal structure of ScFe2Br. The functional is PBE.

Unit cell a=4.2102 b=3.2286 c=5.0795 alpha=89.79 beta=90.00 gamma=90.00
Element x y z (fractional)
Br 0.5000 0.7500 0.7500
Fe 0.0000 0.7493 0.0300
Fe 0.0000 0.7507 0.4700
Sc 0.5000 0.2500 0.2500

Formation energy without anion corrections   0.15 eV/atom
SG   P2/m
Size of the total moment   4.21 μB per cell
E above lowest polymorph   253 meV per atom

---

This record from the Alexandria database describes an optimized crystal structure of ScFe2Br. The functional is PBE.

Unit cell a=5.0579 b=5.0579 c=4.8544 alpha=92.97 beta=92.97 gamma=37.25
Element x y z (fractional)
Br 0.2500 0.2500 0.2500
Fe 0.0284 0.0284 0.9135
Fe 0.4716 0.4716 0.5865
Sc 0.7500 0.7500 0.7500

Formation energy without anion corrections   0.16 eV/atom
SG   C2/m
Size of the total moment   4.15 μB per cell
E above lowest polymorph   257 meV per atom

---

This record from the Alexandria database describes an optimized crystal structure of ScFeBr3. The functional is PBE.

Unit cell a=5.3373 b=5.3373 c=5.3373 alpha=90.00 beta=90.00 gamma=90.00
Element x y z (fractional)
Sc 0.0000 0.0000 0.0000
Fe 0.5000 0.5000 0.5000
Br 0.0000 0.5000 0.0000
Br 0.0000 0.0000 0.5000
Br 0.5000 0.0000 0.0000

Formation energy without anion corrections   -0.35 eV/atom
SG   Pm-3m
Size of the total moment   4.57 μB per cell
E above lowest polymorph   0 meV per atom

---

Number 1: Fermi-level density of states 3.22 states/eV/cell. Number 2: Fermi-level density of states 1.72 states/eV/cell. Number 3: Fermi-level density of states 10.94 states/eV/cell.